1.
TbAg3Pd7: optimized geometry, PBE.

```
TbAg3Pd7
1.0
5.1489 -0.3686 -0.4721
-2.8116 6.5115 0.8190
-2.8116 -0.7840 6.5158
Tb Ag Pd
1 3 7
Cartesian
-0.2372 2.6794 3.4314
-2.8116 5.0052 1.9952
2.5745 -0.1843 -0.2360
-2.8116 0.7223 5.3396
0.8038 1.1028 1.4123
-0.1387 -0.2209 3.6528
-0.3356 1.7615 6.1915
-0.1387 3.5973 0.6712
-2.8116 2.8637 3.6674
-0.3356 5.5798 3.2100
-1.2781 4.2560 5.4504
```

Summary:
Its symmetry is C2/m.

2.
TbAg2Pd: optimized geometry, PBE.

```
TbAg2Pd
1.0
4.2117 -0.4391 0.0000
-1.6016 5.0897 0.0000
0.0000 0.0000 7.9693
Tb Ag Pd
2 4 2
Cartesian
0.0672 0.6317 1.9923
2.5429 4.0188 5.9770
0.3663 3.5451 0.4423
0.3663 3.5451 3.5423
2.2438 1.1055 7.5270
2.2438 1.1055 4.4270
2.3783 2.4124 1.9923
0.2317 2.2381 5.9770
```

Summary:
The value obtained for the energy relative to the lowest polymorph listed for this composition is 5.8 kJ per mole of atoms. Its symmetry is Cmcm.

3.
TbAg2Pd7: optimized geometry, PBE.

```
TbAg2Pd7
1.0
-2.8731 2.1689 -2.5868
0.2118 -5.8467 -5.1373
-4.9535 0.5703 5.9799
Tb Ag Pd
1 2 7
Cartesian
0.0000 0.0000 0.0000
-2.7571 -2.8586 -3.1327
-4.8577 -0.2489 1.3885
-0.7771 -4.6181 -3.0089
-3.9646 -0.6583 3.8514
-2.8418 0.7741 0.0073
-4.7729 -3.8816 -1.7515
-1.7774 -0.5483 -2.2838
-5.8374 -2.5592 0.5395
-3.8074 -1.5538 -0.8721
```

Summary:
Its symmetry is Cmmm.

Raw total energy list, top to bottom, in eV/atom: -4.543; -4.296; -4.507